A relaxed LiGaF2 crystal. Source: the Alexandria database, functional GGA-PBE.

Values from the calculation:
ΔE to the lowest computed polymorph   0.399 eV/atom
DOS at the Fermi energy   0.000 states/eV per atom
SG   No. 225

```
4
Lattice="-3.6366 -0.4911 -2.0802 -2.9823 2.9738 0.2348 -0.8494 2.4050 -3.3597" Properties=species:S:1:pos:R:3 pbc="T T T"
Ga -3.7341 2.4439 -2.6026
F -1.8671 1.2220 -1.3013
Li 0.0000 0.0000 0.0000
F -5.6012 3.6659 -3.9038
```

A relaxed Li3GaF crystal. Source: the Alexandria database, functional GGA-PBE.

Values from the calculation:
ΔE to the lowest computed polymorph   0.951 eV/atom
DOS at the Fermi energy   0.020 states/eV per atom
SG   No. 221

```
5
Lattice="-1.3177 0.2492 -4.8443 -3.7286 -3.2629 0.8464 -3.1027 3.8154 1.0402" Properties=species:S:1:pos:R:3 pbc="T T T"
Li -1.5514 1.9077 0.5201
Li -1.8643 -1.6315 0.4232
Ga 0.0000 0.0000 0.0000
Li -0.6588 0.1246 -2.4222
F -4.0745 0.4008 -1.4789
```

A relaxed LiGaF4 crystal. Source: the Alexandria database, functional GGA-PBE.

Values from the calculation:
ΔE to the lowest computed polymorph   0.000 eV/atom
DOS at the Fermi energy   0.000 states/eV per atom
SG   No. 63

```
12
Lattice="-2.4512 -0.7532 -4.3625 3.6474 -2.7846 -2.1330 -2.6021 -5.2187 2.3632" Properties=species:S:1:pos:R:3 pbc="T T T"
F 0.3708 -6.1960 -0.7098
F -1.7767 -2.5605 -3.4224
F -0.5349 -5.1873 -3.2628
F -3.1244 -5.0319 -1.9876
F 1.7185 -3.7246 -2.1446
Li -1.4381 -5.4328 -1.0161
Li 0.0321 -3.3237 -3.1161
F -1.7102 -7.5444 -2.1955
F 0.3043 -1.2121 -1.9367
F -0.8710 -3.5692 -0.8694
Ga -0.4597 -1.8690 -0.4452
Ga -0.9462 -6.8875 -3.6870
```

A relaxed LiGaF2 crystal. Source: the Alexandria database, functional GGA-PBE.

Values from the calculation:
ΔE to the lowest computed polymorph   0.000 eV/atom
DOS at the Fermi energy   0.000 states/eV per atom
SG   No. 166

```
4
Lattice="-3.2358 -1.3259 5.4694 -1.5967 -3.6365 5.1352 -0.5202 -1.2865 6.3417" Properties=species:S:1:pos:R:3 pbc="T T T"
Li -2.6764 -3.1244 8.4732
F -0.5715 -0.6672 1.8095
F -4.7812 -5.5816 15.1368
Ga 0.0000 0.0000 0.0000
```

A relaxed LiGaF4 crystal. Source: the Alexandria database, functional GGA-PBE.

Values from the calculation:
ΔE to the lowest computed polymorph   0.128 eV/atom
DOS at the Fermi energy   0.000 states/eV per atom
SG   No. 140

```
12
Lattice="4.3213 0.0000 -2.2097 -1.1299 4.1709 -2.2097 0.3796 0.4961 6.0726" Properties=species:S:1:pos:R:3 pbc="T T T"
F 3.6614 1.9614 -1.3647
F -0.0904 2.7056 3.0180
Ga 2.5833 3.3763 -0.2782
Li -0.5649 2.0855 -1.1048
F 0.6187 3.6324 -0.9255
Li 2.1606 0.0000 -1.1048
F 2.9523 1.0347 2.5788
F 2.6670 4.0469 -2.2499
F 1.6131 1.5469 -0.0403
F 0.9040 0.6202 3.9032
Ga 0.9876 1.2908 1.9315
F 1.9579 3.1202 1.6936
```

A relaxed LiGa4F12 crystal. Source: the Alexandria database, functional GGA-PBE.

Values from the calculation:
DOS at the Fermi energy   0.144 states/eV per atom
SG   No. 71

```
17
Lattice="-1.4991 -5.7928 -2.7020 0.3478 -0.7230 6.5162 -4.6150 4.4338 -1.4651" Properties=species:S:1:pos:R:3 pbc="T T T"
F -1.6734 -3.8482 3.7103
Ga 0.1739 -0.3615 3.2581
F -3.7193 -0.3487 2.8052
Ga -0.7496 -2.8964 -1.3510
F -1.6463 -4.4133 -0.3899
F -4.5373 -2.2867 -2.1533
F -1.2001 -1.1699 2.1425
Ga -2.8832 -1.0410 1.1746
F -1.2291 0.2048 4.5024
F -2.4394 0.8699 0.7498
F -4.5662 -0.9120 0.2067
F -4.0930 1.7663 -1.3611
F -2.0470 -1.7332 -0.4561
Li -2.1336 1.8554 2.5255
Ga -2.3075 2.2169 -0.7325
F -3.3269 -2.9519 1.5994
F -4.1201 2.3314 2.7391
```

V in Å³ per atom, matching the order above: 13.27 25.40 13.36 11.06 9.91 12.81
Formation energy without anion corrections in kJ per mole of atoms, matching the order above: -178.4 -21.4 -257.7 -216.9 -245.3 -243.7